[1]
Zr2CuPb | PBE | relaxed

Cell and atoms, written as CIF:
```
data_Zr2CuPb
_chemical_formula_sum 'Zr8 Cu4 Pb4'
_symmetry_space_group_name_H-M 'I -4 2 d'
_symmetry_Int_Tables_number 122
_symmetry_space_group_name_Hall 'I -4 2bw'
_cell_length_a 7.686
_cell_length_b 7.686
_cell_length_c 5.980
_cell_angle_alpha 90.00
_cell_angle_beta 90.00
_cell_angle_gamma 90.00
loop_
_atom_site_label
_atom_site_type_symbol
_atom_site_fract_x
_atom_site_fract_y
_atom_site_fract_z
Zr1 Zr 0.219 0.250 0.125
Cu1 Cu 0.000 0.000 0.000
Pb1 Pb 0.000 0.000 0.500
```

Density of states at the Fermi level in states/eV/f.u.: 2.643
E_form in eV/f.u.: 0.53

[2]
Ho3In3Hg2 | PBE | relaxed

Cell and atoms, written as CIF:
```
data_Ho3In3Hg2
_chemical_formula_sum 'Ho3 In3 Hg2'
_symmetry_space_group_name_H-M 'P -6 2 m'
_symmetry_Int_Tables_number 189
_symmetry_space_group_name_Hall 'P -6 -2'
_cell_length_a 8.0430
_cell_length_b 8.0430
_cell_length_c 3.6656
_cell_angle_alpha 90.00
_cell_angle_beta 90.00
_cell_angle_gamma 120.00
loop_
_atom_site_label
_atom_site_type_symbol
_atom_site_fract_x
_atom_site_fract_y
_atom_site_fract_z
Ho1 Ho 0.0000 0.3933 0.0000
In1 In 0.0000 0.7675 0.5000
Hg1 Hg 0.3333 0.6667 0.5000
```

ΔE to the lowest computed polymorph in meV per atom: 0
Density of states at the Fermi level in states/eV/f.u.: 5.373
E_form in eV/f.u.: -3.35

[3]
AcAl4Cu2 | PBE | relaxed

Cell and atoms, written as CIF:
```
data_AcAl4Cu2
_chemical_formula_sum 'Ac4 Al16 Cu8'
_symmetry_space_group_name_H-M 'P n m a'
_symmetry_Int_Tables_number 62
_symmetry_space_group_name_Hall '-P 2ac 2n'
_cell_length_a 17.230
_cell_length_b 4.179
_cell_length_c 7.300
_cell_angle_alpha 90.00
_cell_angle_beta 90.00
_cell_angle_gamma 90.00
loop_
_atom_site_label
_atom_site_type_symbol
_atom_site_fract_x
_atom_site_fract_y
_atom_site_fract_z
Ac1 Ac 0.113 0.250 0.008
Al1 Al 0.038 0.750 0.706
Al2 Al 0.097 0.250 0.501
Al3 Al 0.192 0.750 0.331
Al4 Al 0.199 0.750 0.706
Cu1 Cu 0.040 0.750 0.333
Cu2 Cu 0.239 0.250 0.523
```

ΔE to the lowest computed polymorph in meV per atom: 0
Density of states at the Fermi level in states/eV/f.u.: 2.240
E_form in eV/f.u.: -2.54